Entry 1:
TiCd3O4 (PBE, relaxed); formation energy (no corrections) = -1216 kJ/mol of formula units; uncorrected energy = -5.38 eV/atom
1.0
7.2855 0.0000 0.0000
0.0000 6.2229 0.0000
0.0000 0.0000 5.6816
Ti Cd O
2 6 8
Direct
0.0000 0.0924 0.0000 Ti
0.5000 0.9076 0.5000 Ti
0.0000 0.7645 0.5029 Cd
0.2118 0.3578 0.5064 Cd
0.2882 0.6422 0.0064 Cd
0.5000 0.2355 0.0029 Cd
0.7118 0.6422 0.0064 Cd
0.7882 0.3578 0.5064 Cd
0.0000 0.1133 0.6745 O
0.0000 0.7991 0.0870 O
0.1972 0.2273 0.1284 O
0.3028 0.7727 0.6284 O
0.5000 0.2009 0.5870 O
0.5000 0.8867 0.1745 O
0.6972 0.7727 0.6284 O
0.8028 0.2273 0.1284 O

Entry 2:
K3BI (PBE, relaxed); formation energy (no corrections) = 87 kJ/mol of formula units; uncorrected energy = -2.12 eV/atom
1.0
6.0305 0.0000 0.0000
0.0000 6.0305 0.0000
0.0000 0.0000 6.0305
K B I
3 1 1
Direct
0.0000 0.0000 0.5000 K
0.0000 0.5000 0.0000 K
0.5000 0.0000 0.0000 K
0.0000 0.0000 0.0000 B
0.5000 0.5000 0.5000 I

Entry 3:
SrTcW (PBE, relaxed); formation enthalpy at 0 K = 1.88 eV/f.u.; uncorrected energy = -7.71 eV/atom
1.0
-1.6953 1.6953 6.0548
1.6953 -1.6953 6.0548
1.6953 1.6953 -6.0548
Sr Tc W
1 1 1
Direct
0.0000 0.0000 0.0000 Sr
0.7140 0.7140 0.0000 Tc
0.2832 0.2832 0.0000 W

Entry 4:
BaMgSe2O8 (PBE, relaxed); formation energy (no corrections) = -1768 kJ/mol of formula units; uncorrected energy = -5.71 eV/atom
1.0
2.5589 1.4774 7.7163
-2.5589 1.4774 7.7163
0.0000 -2.9548 7.7163
Ba Mg Se O
1 1 2 8
Direct
0.0000 0.0000 0.0000 Ba
0.5000 0.5000 0.5000 Mg
0.2410 0.2410 0.2410 Se
0.7590 0.7590 0.7590 Se
0.1013 0.4733 0.7614 O
0.2386 0.8987 0.5267 O
0.3137 0.3137 0.3137 O
0.4733 0.7614 0.1013 O
0.5267 0.2386 0.8987 O
0.6863 0.6863 0.6863 O
0.7614 0.1013 0.4733 O
0.8987 0.5267 0.2386 O

Entry 5:
U2Be (PBE, relaxed); formation enthalpy at 0 K = 0.81 eV/f.u.; uncorrected energy = -8.50 eV/atom
1.0
-1.7286 1.7286 4.3382
1.7286 -1.7286 4.3382
1.7286 1.7286 -4.3382
U Be
2 1
Direct
0.1841 0.1841 0.0000 U
0.8159 0.8159 0.0000 U
0.5000 0.5000 0.0000 Be

Entry 6:
Cr2C (PBE, relaxed); formation enthalpy at 0 K = 1.59 eV/f.u.; uncorrected energy = -8.96 eV/atom
1.0
-1.2700 1.2700 9.0623
1.2700 -1.2700 9.0623
1.2700 1.2700 -9.0623
Cr C
4 2
Direct
0.3120 0.5620 0.7500 Cr
0.4380 0.6880 0.7500 Cr
0.5620 0.3120 0.2500 Cr
0.6880 0.4380 0.2500 Cr
0.1250 0.8750 0.2500 C
0.8750 0.1250 0.7500 C

Entry 7:
CrIn (PBE, relaxed); formation enthalpy at 0 K = 1.50 eV/f.u.; uncorrected energy = -5.43 eV/atom
1.0
5.5413 0.0000 0.0000
0.0000 5.5413 0.0000
0.0000 0.0000 5.6658
Cr In
4 4
Direct
0.1916 0.1916 0.0000 Cr
0.3084 0.6916 0.5000 Cr
0.6916 0.3084 0.5000 Cr
0.8084 0.8084 0.0000 Cr
0.1950 0.1950 0.5000 In
0.3050 0.6950 0.0000 In
0.6950 0.3050 0.0000 In
0.8050 0.8050 0.5000 In

Entry 8:
Zr8SiSn2 (PBE, relaxed); formation energy (no corrections) = -310 kJ/mol of formula units; uncorrected energy = -7.73 eV/atom
1.0
9.0441 -2.4419 0.0000
9.0441 2.4419 0.0000
-1.6340 0.0000 5.6164
Zr Si Sn
8 1 2
Direct
0.0144 0.0144 0.2645 Zr
0.2307 0.2307 0.8315 Zr
0.3502 0.3502 0.4638 Zr
0.4119 0.4119 0.0063 Zr
0.5881 0.5881 0.9937 Zr
0.6498 0.6498 0.5362 Zr
0.7693 0.7693 0.1685 Zr
0.9856 0.9856 0.7355 Zr
0.5000 0.5000 0.5000 Si
0.1755 0.1755 0.2628 Sn
0.8245 0.8245 0.7372 Sn